Version a
# RbPuI3

A relaxed RbPuI3 crystal (PBE, Alexandria via LeMat-Bulk).

Results
Magnetization: 1.20 μB/atom
DOS at the Fermi energy: 31.63 states/eV per cell

Lattice parameters (Å, degrees): 7.351 8.715 8.643 120.28 99.64 90.00
Site moments in Bohr magnetons follow the coordinates.
Sites, in units of the cell vectors:
Rb: 0.280 0.333 0.666  0.00
Pu: 0.500 0.000 0.000  5.71
I: 0.714 0.168 0.820  -0.03
Rb: 0.720 0.667 0.334  0.00
I: 0.821 0.178 0.355  -0.03
I: 0.714 0.652 0.820  -0.03
I: 0.286 0.832 0.180  -0.03
I: 0.179 0.822 0.645  -0.03
I: 0.286 0.348 0.180  -0.03
Pu: 0.000 0.000 0.000  5.72



Version b
# RbPuI3

A relaxed RbPuI3 crystal (PBE, Alexandria via LeMat-Bulk).

Results
Magnetization: 1.20 μB/atom
DOS at the Fermi energy: 18.55 states/eV per cell

Lattice parameters (Å, degrees): 6.274 6.274 6.274 90.00 90.00 90.00
Site moments in Bohr magnetons follow the coordinates.
Sites, in units of the cell vectors:
I: 0.000 0.000 0.500  -0.03
I: 0.000 0.500 0.000  -0.03
I: 0.500 0.000 0.000  -0.03
Rb: 0.500 0.500 0.500  0.00
Pu: 0.000 0.000 0.000  5.76



Which of them is the least stable? Correct choice: version b.



Version a
# PuSeI

A relaxed PuSeI crystal (PBE, Alexandria via LeMat-Bulk).

Results
Magnetization: 1.67 μB/atom
DOS at the Fermi energy: 38.55 states/eV per cell

Lattice parameters (Å, degrees): 7.582 7.582 8.331 109.24 109.24 106.02
Site moments in Bohr magnetons follow the coordinates.
Sites, in units of the cell vectors:
I: 0.872 0.042 0.247  -0.08
I: 0.795 0.624 0.753  -0.08
Se: 0.361 0.401 0.262  -0.15
Pu: 0.692 0.826 0.463  5.16
I: 0.874 0.545 0.253  -0.08
I: 0.292 0.622 0.747  -0.08
Se: 0.349 0.890 0.238  -0.15
Pu: 0.363 0.229 0.537  5.16
Pu: 0.076 0.442 0.963  5.16
Pu: 0.479 0.113 0.037  5.16
Se: 0.140 0.099 0.738  -0.15
Se: 0.651 0.111 0.762  -0.15



Version b
# PuSeI

A relaxed PuSeI crystal (PBE, Alexandria via LeMat-Bulk).

Results
Magnetization: 1.67 μB/atom
DOS at the Fermi energy: 11.29 states/eV per cell

Lattice parameters (Å, degrees): 7.030 4.298 4.298 120.00 90.00 90.00
Site moments in Bohr magnetons follow the coordinates.
Sites, in units of the cell vectors:
Pu: 0.031 0.000 0.000  5.13
Se: 0.223 0.333 0.667  -0.14
I: 0.746 0.667 0.333  -0.08



Which of them is the least stable? Correct choice: version b.



Version a
# PuSeI

A relaxed PuSeI crystal (PBE, Alexandria via LeMat-Bulk).

Results
Magnetization: 1.67 μB/atom
DOS at the Fermi energy: 9.27 states/eV per cell

Lattice parameters (Å, degrees): 3.714 3.714 7.312 104.71 104.71 90.00
Site moments in Bohr magnetons follow the coordinates.
Sites, in units of the cell vectors:
I: 0.031 0.031 0.062  -0.11
Pu: 0.685 0.685 0.370  5.19
Se: 0.284 0.284 0.569  -0.19



Version b
# PuSeI

A relaxed PuSeI crystal (PBE, Alexandria via LeMat-Bulk).

Results
Magnetization: 1.67 μB/atom
DOS at the Fermi energy: 20.25 states/eV per cell

Lattice parameters (Å, degrees): 4.340 5.643 9.822 90.00 90.00 90.00
Site moments in Bohr magnetons follow the coordinates.
Sites, in units of the cell vectors:
I: 0.500 0.500 0.653  -0.08
Se: 0.000 0.000 0.927  -0.14
Pu: 0.500 0.000 0.122  5.13
Se: 0.500 0.500 0.073  -0.14
I: 0.000 0.000 0.347  -0.08
Pu: 0.000 0.500 0.878  5.13



Which of them is the least stable? Correct choice: version a.



Version a
# Pu3Se3I

A relaxed Pu3Se3I crystal (PBE, Alexandria via LeMat-Bulk).

Results
Magnetization: 2.43 μB/atom
DOS at the Fermi energy: 112.25 states/eV per cell

Lattice parameters (Å, degrees): 10.240 10.240 10.240 109.47 109.47 109.47
Site moments in Bohr magnetons follow the coordinates.
Sites, in units of the cell vectors:
I: 0.233 0.233 0.233  -0.06
Pu: 0.254 0.254 0.749  5.44
Se: 0.500 0.500 0.750  -0.11
Se: 0.250 0.500 0.000  -0.11
Se: 0.000 0.250 0.500  -0.11
Pu: 0.749 0.254 0.254  5.44
Se: 0.250 0.000 0.500  -0.11
Se: 0.750 0.750 0.250  -0.11
Se: 0.500 0.750 0.500  -0.11
Se: 0.250 0.750 0.750  -0.11
Pu: 0.746 0.000 0.495  5.44
Pu: 0.251 0.505 0.505  5.44
I: 0.000 0.767 0.000  -0.06
Pu: 0.505 0.251 0.505  5.44
Pu: 0.495 0.000 0.746  5.44
Pu: 0.505 0.505 0.251  5.44
Se: 0.750 0.250 0.750  -0.11
Se: 0.500 0.250 0.000  -0.11
Pu: 0.000 0.495 0.746  5.44
I: 0.767 0.000 0.000  -0.06
Se: 0.000 0.500 0.250  -0.11
I: 0.000 0.000 0.767  -0.06
Pu: 0.000 0.746 0.495  5.44
Pu: 0.495 0.746 0.000  5.44
Se: 0.500 0.000 0.250  -0.11
Pu: 0.746 0.495 0.000  5.44
Pu: 0.254 0.749 0.254  5.44
Se: 0.750 0.500 0.500  -0.11



Version b
# Pu3Se3I

A relaxed Pu3Se3I crystal (PBE, Alexandria via LeMat-Bulk).

Results
Magnetization: 2.43 μB/atom
DOS at the Fermi energy: 53.74 states/eV per cell

Lattice parameters (Å, degrees): 9.042 9.042 7.830 54.73 54.73 60.00
Site moments in Bohr magnetons follow the coordinates.
Sites, in units of the cell vectors:
Se: 0.905 0.618 0.271  -0.11
Pu: 0.927 0.269 0.237  5.49
Pu: 0.269 0.568 0.237  5.49
Se: 0.207 0.905 0.271  -0.11
Se: 0.095 0.382 0.729  -0.11
Pu: 0.568 0.927 0.237  5.49
Se: 0.618 0.207 0.271  -0.11
I: 0.666 0.666 0.002  -0.07
Pu: 0.073 0.731 0.763  5.49
Pu: 0.731 0.432 0.763  5.49
Pu: 0.432 0.073 0.763  5.49
Se: 0.382 0.793 0.729  -0.11
I: 0.334 0.334 0.998  -0.07
Se: 0.793 0.095 0.729  -0.11



Which of them is the least stable? Correct choice: version b.



Version a
# Pu2SiI

A relaxed Pu2SiI crystal (PBE, Alexandria via LeMat-Bulk).

Results
Magnetization: 2.73 μB/atom
DOS at the Fermi energy: 17.90 states/eV per cell

Lattice parameters (Å, degrees): 4.329 4.329 7.480 73.18 73.18 60.00
Site moments in Bohr magnetons follow the coordinates.
Sites, in units of the cell vectors:
Pu: 0.265 0.265 0.205  5.28
Pu: 0.735 0.735 0.795  5.28
I: 0.500 0.500 0.500  -0.06
Si: 0.000 0.000 0.000  -0.15



Version b
# Pu2SiI

A relaxed Pu2SiI crystal (PBE, Alexandria via LeMat-Bulk).

Results
Magnetization: 2.87 μB/atom
DOS at the Fermi energy: 13.25 states/eV per cell

Lattice parameters (Å, degrees): 3.587 3.587 7.887 90.00 90.00 90.00
Site moments in Bohr magnetons follow the coordinates.
Sites, in units of the cell vectors:
I: 0.500 0.500 0.500  -0.05
Pu: 0.000 0.000 0.795  5.48
Si: 0.500 0.500 0.000  -0.12
Pu: 0.000 0.000 0.205  5.48



Which of them is the least stable? Correct choice: version a.



Version a
# Pu2TcI

A relaxed Pu2TcI crystal (PBE, Alexandria via LeMat-Bulk).

Results
Magnetization: 2.55 μB/atom
DOS at the Fermi energy: 11.50 states/eV per cell

Lattice parameters (Å, degrees): 3.447 3.447 8.175 90.00 90.00 90.00
Site moments in Bohr magnetons follow the coordinates.
Sites, in units of the cell vectors:
Pu: 0.000 0.000 0.794  5.28
I: 0.500 0.500 0.500  -0.05
Pu: 0.000 0.000 0.206  5.28
Tc: 0.500 0.500 0.000  -0.91



Version b
# Pu2TcI

A relaxed Pu2TcI crystal (PBE, Alexandria via LeMat-Bulk).

Results
Magnetization: 2.41 μB/atom
DOS at the Fermi energy: 13.50 states/eV per cell

Lattice parameters (Å, degrees): 4.000 4.000 8.183 75.85 75.85 60.00
Site moments in Bohr magnetons follow the coordinates.
Sites, in units of the cell vectors:
Tc: 0.000 0.000 0.000  -0.93
Pu: 0.270 0.270 0.189  5.06
Pu: 0.730 0.730 0.811  5.06
I: 0.500 0.500 0.500  -0.05



Which of them is the least stable? Correct choice: version b.



Version a
# PuTeI2

A relaxed PuTeI2 crystal (PBE, Alexandria via LeMat-Bulk).

Results
Magnetization: 1.21 μB/atom
DOS at the Fermi energy: 22.99 states/eV per cell

Lattice parameters (Å, degrees): 6.018 9.030 9.035 53.99 70.55 70.54
Site moments in Bohr magnetons follow the coordinates.
Sites, in units of the cell vectors:
I: 0.467 0.754 0.313  -0.07
Pu: 0.351 0.536 0.761  5.16
I: 0.158 0.877 0.808  -0.08
Pu: 0.648 0.739 0.964  5.16
Te: 0.000 0.357 0.142  -0.16
I: 0.533 0.187 0.746  -0.07
I: 0.842 0.693 0.623  -0.08
Te: 0.500 0.357 0.142  -0.16



Version b
# PuTeI2

A relaxed PuTeI2 crystal (PBE, Alexandria via LeMat-Bulk).

Results
Magnetization: 1.31 μB/atom
DOS at the Fermi energy: 11.41 states/eV per cell

Lattice parameters (Å, degrees): 3.950 3.950 12.273 80.74 80.74 60.00
Site moments in Bohr magnetons follow the coordinates.
Sites, in units of the cell vectors:
I: 0.892 0.892 0.325  -0.08
Te: 0.000 0.000 0.000  -0.30
Pu: 0.500 0.500 0.500  5.52
I: 0.108 0.108 0.675  -0.08



Which of them is the least stable? Correct choice: version b.



Version a
# PuTlI3

A relaxed PuTlI3 crystal (PBE, Alexandria via LeMat-Bulk).

Results
Magnetization: 0.00 μB/atom
DOS at the Fermi energy: 35.46 states/eV per cell

Lattice parameters (Å, degrees): 4.563 8.863 11.730 95.96 101.21 104.93
Site moments in Bohr magnetons follow the coordinates.
Sites, in units of the cell vectors:
I: 0.324 0.746 0.986  0.03
I: 0.172 0.800 0.628  -0.03
Pu: 0.853 0.639 0.151  -5.70
I: 0.393 0.548 0.322  0.02
I: 0.103 0.998 0.291  -0.02
Pu: 0.643 0.907 0.463  5.70
I: 0.604 0.300 0.990  0.02
Tl: 0.904 0.034 0.857  0.00
Tl: 0.593 0.512 0.756  0.00
I: 0.893 0.246 0.623  -0.02



Version b
# PuTlI3

A relaxed PuTlI3 crystal (PBE, Alexandria via LeMat-Bulk).

Results
Magnetization: 1.20 μB/atom
DOS at the Fermi energy: 17.07 states/eV per cell

Lattice parameters (Å, degrees): 6.213 6.213 6.213 90.00 90.00 90.00
Site moments in Bohr magnetons follow the coordinates.
Sites, in units of the cell vectors:
I: 0.500 0.000 0.000  -0.03
Pu: 0.000 0.000 0.000  5.67
Tl: 0.500 0.500 0.500  0.04
I: 0.000 0.500 0.000  -0.03
I: 0.000 0.000 0.500  -0.03



Which of them is the least stable? Correct choice: version b.